Entry 1:
First-principles (PBE) data for a geometry-optimized Na3Th3PdS8 structure, as listed in the Alexandria database.

The structure belongs to space group C2/m (No. 12); the cell edges are 13.9071, 8.2463 and 8.1514 Å and the angles 90.00°, 125.01° and 90.00°. Symmetry generates all atoms from Na at (0.0000, 0.0000, 0.0000), Na at (0.2500, 0.2500, 0.0000), Th at (0.0000, 0.5000, 0.5000), Th at (0.2500, 0.2500, 0.5000), Pd at (0.0000, 0.0000, 0.5000), S at (0.0102, 0.2654, 0.2687), S at (0.2210, 0.0000, 0.7018) and S at (0.2488, 0.5000, 0.7405).

For the formation energy (no corrections), the calculation gives -1.457 eV per atom.



Entry 2:
First-principles (PBE) data for a geometry-optimized CaGd2Tm structure, as listed in the Alexandria database.

The structure belongs to space group R-3m (No. 166, hexagonal axes); the cell edges are 3.5483, 3.5483 and 37.5195 Å and the angles 90.00°, 90.00° and 120.00°. Symmetry generates all atoms from Ca at (0.0000, 0.0000, 0.0000), Gd at (0.0000, 0.0000, 0.0913) and Tm at (0.0000, 0.0000, 0.5000).

The energy relative to the lowest polymorph listed for this composition comes out at 0.091 eV per atom. The value obtained for the formation energy is 14.30 kJ per mole of atoms.



Entry 3:
First-principles (PBE) data for a geometry-optimized MoPbSe2 structure, as listed in the Alexandria database.

The structure belongs to space group Cm (No. 8); the cell edges are 9.0686, 3.2901 and 6.7174 Å and the angles 90.00°, 110.25° and 90.00°. Symmetry generates all atoms from Mo at (0.0000, 0.0000, 0.0000), Pb at (0.1666, 0.5000, 0.4190), Se at (0.3069, 0.0000, 0.0525) and Se at (0.4768, 0.0000, 0.7033).

For the formation energy (no corrections), the calculation gives -0.160 eV per atom.



Entry 4:
First-principles (PBE) data for a geometry-optimized CoNiGe2 structure, as listed in the Alexandria database.

The structure belongs to space group P4/mmm (No. 123); the cell edges are 2.9393, 2.9393 and 5.9588 Å and the angles 90.00°, 90.00° and 90.00°. Symmetry generates all atoms from Co at (0.0000, 0.0000, 0.0000), Ni at (0.0000, 0.0000, 0.5000) and Ge at (0.5000, 0.5000, 0.2471).

The value obtained for the formation energy is -3.36 kJ per mole of atoms.



| no. | DFT total energy (eV per atom) | size of the total moment (μB per cell) |
| --- | --- | --- |
| 1 | -5.752 | 1.47 |
| 2 | -8.511 | 44.49 |
| 3 | -5.537 | 0.00 |
| 4 | -5.565 | 0.76 |